[1]
Entry from Alexandria: an optimized crystal structure of La2TlPt (PBE).

Unit cell a=4.206 b=4.206 c=8.744 alpha=76.16 beta=76.16 gamma=60.01
Element x y z (fractional)
1 La 0.067 0.067 0.800
2 La 0.267 0.267 0.199
3 Tl 0.500 0.500 0.500
4 Pt 0.666 0.666 0.001

Values from the calculation:
energy relative to the elements: -713 meV per atom
excess energy over the best structure of this formula in the dataset: 75 meV per atom
symmetry: Cm (8)



[2]
Entry from Alexandria: an optimized crystal structure of Nd3PuO6 (PBE).

Unit cell a=7.026 b=7.026 c=7.026 alpha=91.60 beta=91.60 gamma=91.60
Site moments in Bohr magnetons follow the coordinates.
Element x y z (fractional)
1 Nd 0.445 0.938 0.749  0.03
2 Nd 0.938 0.749 0.445  0.03
3 Nd 0.251 0.555 0.062  0.03
4 Nd 0.749 0.445 0.938  0.03
5 Nd 0.062 0.251 0.555  0.03
6 Nd 0.555 0.062 0.251  0.03
7 Pu 0.000 0.000 0.000  4.97
8 Pu 0.500 0.500 0.500  4.79
9 O 0.315 0.903 0.067  -0.02
10 O 0.097 0.933 0.685  -0.02
11 O 0.601 0.814 0.471  -0.02
12 O 0.933 0.685 0.097  -0.02
13 O 0.471 0.601 0.814  -0.02
14 O 0.186 0.529 0.399  -0.02
15 O 0.814 0.471 0.601  -0.02
16 O 0.529 0.399 0.186  -0.02
17 O 0.067 0.315 0.903  -0.02
18 O 0.399 0.186 0.529  -0.02
19 O 0.903 0.067 0.315  -0.02
20 O 0.685 0.097 0.933  -0.02

Values from the calculation:
symmetry: R-3 (148)
raw formation energy: -3.23 eV per atom



[3]
Entry from Alexandria: an optimized crystal structure of MgTaO2 (PBE).

Unit cell a=6.284 b=6.284 c=6.284 alpha=28.41 beta=28.41 gamma=28.41
Element x y z (fractional)
1 Mg 0.500 0.500 0.500
2 O 0.893 0.893 0.893
3 O 0.107 0.107 0.107
4 Ta 0.000 0.000 0.000

Values from the calculation:
symmetry: R-3m (166)
raw formation energy: -2.16 eV per atom



[4]
Entry from Alexandria: an optimized crystal structure of FeGeTe2 (PBE).

Unit cell a=6.216 b=6.216 c=7.590 alpha=65.83 beta=65.83 gamma=90.00
Site moments in Bohr magnetons follow the coordinates.
Element x y z (fractional)
1 Ge 0.000 0.000 0.000  0.01
2 Ge 0.750 0.250 0.500  0.01
3 Te 0.588 0.125 0.250  -0.02
4 Te 0.162 0.625 0.250  -0.02
5 Te 0.375 0.412 0.750  -0.02
6 Te 0.875 0.838 0.750  -0.01
7 Fe 0.500 0.500 0.000  2.48
8 Fe 0.250 0.750 0.500  2.46

Values from the calculation:
symmetry: I-42d (122)
raw formation energy: 0.22 eV per atom



[5]
Entry from Alexandria: an optimized crystal structure of Sm5AlTl2 (PBE).

Unit cell a=8.632 b=8.632 c=8.850 alpha=119.19 beta=119.19 gamma=90.00
Element x y z (fractional)
1 Sm 0.502 0.689 0.691
2 Sm 0.811 0.998 0.309
3 Sm 0.000 0.000 0.000
4 Sm 0.500 0.500 0.000
5 Sm 0.189 0.002 0.691
6 Sm 0.689 0.189 0.691
7 Sm 0.002 0.502 0.691
8 Sm 0.311 0.811 0.309
9 Sm 0.998 0.498 0.309
10 Sm 0.498 0.311 0.309
11 Al 0.750 0.750 0.500
12 Al 0.250 0.250 0.500
13 Tl 0.143 0.357 0.000
14 Tl 0.643 0.143 0.000
15 Tl 0.357 0.857 0.000
16 Tl 0.857 0.643 0.000

Values from the calculation:
energy relative to the elements: -247 meV per atom
excess energy over the best structure of this formula in the dataset: 52 meV per atom
symmetry: I4/mcm (140)



[6]
Entry from Alexandria: an optimized crystal structure of Pm2SiO (PBE).

Unit cell a=3.174 b=3.174 c=7.330 alpha=90.00 beta=90.00 gamma=90.00
Element x y z (fractional)
1 Si 0.500 0.500 0.500
2 O 0.500 0.500 0.000
3 Pm 0.000 0.000 0.782
4 Pm 0.000 0.000 0.218

Values from the calculation:
excess energy over the best structure of this formula in the dataset: 287 meV per atom
symmetry: P4/mmm (123)
raw formation energy: -1.29 eV per atom



[7]
Entry from Alexandria: an optimized crystal structure of Te2AsBr (PBE).

Unit cell a=3.728 b=3.728 c=9.108 alpha=90.00 beta=90.00 gamma=119.10
Element x y z (fractional)
1 As 0.500 0.500 0.250
2 Te 0.000 0.000 0.021
3 Te 0.000 0.000 0.479
4 Br 0.500 0.500 0.750

Values from the calculation:
excess energy over the best structure of this formula in the dataset: 340 meV per atom
symmetry: Cmmm (65)
raw formation energy: 0.27 eV per atom